Record 1
A plane-wave DFT calculation with PBE was carried out for a relaxed NaBe2Al2 crystal.

Structure (POSCAR):
```
NaBe2Al2
1.0
7.670 0.000 0.000
0.000 7.670 0.000
0.000 0.000 2.521
Na Be Al
2 4 4
Direct
0.000 0.000 0.000 Na
0.500 0.500 0.000 Na
0.152 0.348 0.000 Be
0.348 0.848 0.000 Be
0.652 0.152 0.000 Be
0.848 0.652 0.000 Be
0.139 0.639 0.500 Al
0.361 0.139 0.500 Al
0.639 0.861 0.500 Al
0.861 0.361 0.500 Al
```

Raw total energy: -2.990 eV/atom
ΔE to the lowest computed polymorph: 0 meV per atom
Total magnetic moment: 0.0 μB per formula unit
Energy relative to the elements: 0.26 eV/atom

=====

Record 2
A plane-wave DFT calculation with PBE was carried out for a relaxed CaDyGaSi crystal.

Structure (POSCAR):
```
CaDyGaSi
1.0
4.000 0.000 0.000
0.000 2.189 5.425
0.000 -2.189 5.425
Ca Dy Ga Si
1 1 1 1
Direct
0.000 0.000 0.000 Ca
0.500 0.279 0.279 Dy
0.500 0.571 0.571 Ga
0.000 0.718 0.718 Si
```

E_form (uncorrected): -58 kJ per mole of atoms
Raw total energy: -4.368 eV/atom
Total magnetic moment: 0.0 μB per formula unit

=====

Copy entry 1 word for word.
A plane-wave DFT calculation with PBE was carried out for a relaxed NaBe2Al2 crystal.

Structure (POSCAR):
```
NaBe2Al2
1.0
7.670 0.000 0.000
0.000 7.670 0.000
0.000 0.000 2.521
Na Be Al
2 4 4
Direct
0.000 0.000 0.000 Na
0.500 0.500 0.000 Na
0.152 0.348 0.000 Be
0.348 0.848 0.000 Be
0.652 0.152 0.000 Be
0.848 0.652 0.000 Be
0.139 0.639 0.500 Al
0.361 0.139 0.500 Al
0.639 0.861 0.500 Al
0.861 0.361 0.500 Al
```

Raw total energy: -2.990 eV/atom
ΔE to the lowest computed polymorph: 0 meV per atom
Total magnetic moment: 0.0 μB per formula unit
Energy relative to the elements: 0.26 eV/atom